# NaTl2SeF6

Crystalline NaTl2SeF6 at its relaxed geometry (PBE, Alexandria via LeMat-Bulk).

Structure (POSCAR):
```
NaTl2SeF6
1.0
5.914 0.000 0.000
0.000 6.195 0.000
0.000 0.000 10.047
Na Tl Se F
2 4 2 12
Cartesian
0.000 4.733 5.024
2.957 1.462 0.000
2.957 4.830 2.509
0.000 1.366 7.533
2.957 4.830 7.538
0.000 1.366 2.514
2.957 1.673 5.024
0.000 4.522 0.000
2.957 1.143 2.286
2.957 1.143 7.761
0.000 5.052 2.738
0.000 5.052 7.310
1.585 0.282 5.024
4.329 0.282 5.024
1.581 3.050 5.024
4.332 3.050 5.024
4.538 3.145 0.000
1.375 3.145 0.000
1.372 5.913 0.000
4.542 5.913 0.000
```

Results
Raw formation energy ... -1.840 eV per atom
Magnetization ... 1.00 μB per formula unit



# Mg2SbPd2

Crystalline Mg2SbPd2 at its relaxed geometry (PBE, Alexandria via LeMat-Bulk).

Structure (POSCAR):
```
Mg2SbPd2
1.0
-3.837 0.625 0.838
-0.146 -3.475 1.927
-0.366 1.448 6.685
Sb Mg Pd
1 2 2
Cartesian
0.000 0.000 0.000
-3.097 0.324 4.453
-1.251 -1.726 4.998
-1.645 -0.814 2.511
-2.703 -0.589 6.939
```

Results
ΔE to the lowest computed polymorph ... 289 meV/atom
Raw formation energy ... -0.276 eV per atom
Magnetization ... 0.00 μB per formula unit



# Ce2TePb

Crystalline Ce2TePb at its relaxed geometry (PBE, Alexandria via LeMat-Bulk).

Structure (POSCAR):
```
Ce2TePb
1.0
4.381 0.000 0.000
0.000 7.850 0.000
0.000 0.000 7.659
Ce Te Pb
4 2 2
Cartesian
0.000 1.953 2.536
0.000 5.897 5.124
2.191 1.972 6.365
2.191 5.878 1.294
0.000 3.925 0.000
2.191 0.000 3.830
2.191 3.925 3.830
0.000 0.000 0.000
```

Results
ΔE to the lowest computed polymorph ... 70 meV/atom
Raw formation energy ... -0.794 eV per atom
Magnetization ... 1.93 μB per formula unit



# CaSm2TmHg4

Crystalline CaSm2TmHg4 at its relaxed geometry (PBE, Alexandria via LeMat-Bulk).

Structure (POSCAR):
```
CaSm2TmHg4
1.0
5.314 0.000 0.000
2.657 4.602 0.000
2.657 1.534 8.677
Ca Sm Tm Hg
1 2 1 4
Cartesian
0.000 0.000 0.000
7.971 4.602 6.537
2.657 1.534 2.140
5.314 3.068 4.339
5.314 3.068 7.540
7.971 4.602 3.302
2.657 1.534 5.375
5.314 3.068 1.138
```

Results
Magnetization ... 0.00 μB per formula unit
Energy of formation from the pure elements ... -0.512 eV/atom



# Ce2PaSi

Crystalline Ce2PaSi at its relaxed geometry (PBE, Alexandria via LeMat-Bulk).

Structure (POSCAR):
```
Ce2PaSi
1.0
4.551 0.000 0.000
0.000 4.488 0.000
0.000 0.000 4.488
Si Pa Ce
1 1 2
Cartesian
2.275 2.244 2.244
2.275 0.000 0.000
0.000 0.000 2.244
0.000 2.244 0.000
```

Results
ΔE to the lowest computed polymorph ... 0 meV/atom
Raw formation energy ... -0.266 eV per atom
Magnetization ... 0.84 μB per formula unit



# RbNa2ScBr6

Crystalline RbNa2ScBr6 at its relaxed geometry (PBE, Alexandria via LeMat-Bulk).

Structure (POSCAR):
```
RbNa2ScBr6
1.0
-5.605 -1.046 4.960
-7.062 -1.100 -2.454
-3.106 -7.499 0.667
Rb Na Sc Br
1 2 1 6
Cartesian
-12.018 -6.085 2.409
-7.958 -4.394 1.597
-3.116 -7.440 0.668
-4.206 -0.816 0.833
-5.641 -2.568 2.283
-8.919 -3.027 -0.928
-10.014 -3.318 3.542
-9.405 -6.931 0.534
-7.529 -6.699 3.638
-5.820 -6.338 0.451
```

Results
Raw formation energy ... -1.647 eV per atom
Magnetization ... 0.00 μB per formula unit



# CoHSeBr

Crystalline CoHSeBr at its relaxed geometry (PBE, Alexandria via LeMat-Bulk).

Structure (POSCAR):
```
CoHSeBr
1.0
-3.213 -4.508 -3.736
3.207 -1.095 -1.437
1.496 -2.833 5.498
Co H Se Br
2 2 2 2
Cartesian
0.559 -1.504 2.394
2.911 -3.468 4.425
-1.041 -2.716 -0.252
1.311 -4.680 1.778
-0.388 -1.438 0.230
1.964 -3.402 2.261
-1.505 -5.676 0.968
-0.649 -4.807 -2.499
```

Results
ΔE to the lowest computed polymorph ... 1 meV/atom
Magnetization ... 1.00 μB per formula unit



# Ca2Bi2H

Crystalline Ca2Bi2H at its relaxed geometry (PBE, Alexandria via LeMat-Bulk).

Structure (POSCAR):
```
Ca2Bi2H
1.0
7.190 0.000 0.000
0.000 7.190 0.000
0.000 0.000 5.205
H Ca Bi
2 4 4
Cartesian
0.000 0.000 0.000
3.595 3.595 0.000
2.339 5.934 0.000
5.934 4.851 0.000
4.851 1.256 0.000
1.256 2.339 0.000
1.082 4.677 2.602
4.677 6.108 2.602
6.108 2.513 2.602
2.513 1.082 2.602
```

Results
ΔE to the lowest computed polymorph ... 82 meV/atom
Magnetization ... 0.00 μB per formula unit



# YZr2Se

Crystalline YZr2Se at its relaxed geometry (PBE, Alexandria via LeMat-Bulk).

Structure (POSCAR):
```
YZr2Se
1.0
3.497 0.006 0.000
-0.006 3.497 0.000
0.000 0.000 7.631
Se Y Zr
1 1 2
Cartesian
1.746 1.751 1.908
1.746 1.751 5.723
0.000 0.000 0.392
0.000 0.000 3.423
```

Results
Raw formation energy ... -0.423 eV per atom
Magnetization ... 0.00 μB per formula unit



no.,E (Ry per atom)
1,-0.2879
2,-0.2804
3,-0.4023
4,-0.1949
5,-0.5118
6,-0.2679
7,-0.2944
8,-0.2539
9,-0.5280